First-principles (PBE) data for a geometry-optimized Dy3TlOs structure, as listed in the Alexandria database.

Unit cell a=5.8494 b=5.8494 c=8.8331 alpha=102.01 beta=102.01 gamma=111.82
Sites, in units of the cell vectors:
Dy1 0.2988 0.7988 0.0976
Dy2 0.7012 0.2012 0.9024
Dy3 0.0757 0.1966 0.2723
Dy4 0.9243 0.8034 0.7277
Dy5 0.6966 0.5757 0.2723
Dy6 0.3034 0.4243 0.7277
Tl1 0.7169 0.2169 0.5000
Tl2 0.2831 0.7831 0.5000
Os1 0.2500 0.2500 0.0000
Os2 0.7500 0.7500 0.0000

## Properties
Relative energy among the computed polymorphs, eV/atom: 0.0000
Theoretical density, g/cm3: 11.2
Total magnetic moment, μB per formula unit: 0.00
N(E_F), states/eV/f.u.: 2.9